No. 1
The following is a DFT calculation (GGA-PBE) of a relaxed Na2TlSbAu crystal.

The volume is 32.54 Å³/atom. As for the formation energy from raw total energies: -0.1328 eV per atom.

It has space group P4/mmm (No. 123), with a = 5.573 Å, b = 5.573 Å, c = 5.238 Å, α = 90.00°, β = 90.00° and γ = 90.00°. The distinct sites, in fractional coordinates, are Na at (0.000, 0.500, 0.000), Tl at (0.000, 0.000, 0.500), Sb at (0.500, 0.500, 0.500) and Au at (0.500, 0.500, 0.000).

No. 2
The following is a DFT calculation (GGA-PBE) of a relaxed Ba3Ga5Pt6 crystal.

Its energy of formation is -736 meV/atom. The volume is 22.11 Å³/atom.

It has space group Pmmn (No. 59, origin choice 2), with a = 4.190 Å, b = 12.904 Å, c = 11.448 Å, α = 90.00°, β = 90.00° and γ = 90.00°. The distinct sites, in fractional coordinates, are Ba at (0.250, 0.104, 0.240), Ba at (0.250, 0.750, 0.238), Ga at (0.250, 0.072, 0.641), Ga at (0.250, 0.608, 0.998), Ga at (0.250, 0.750, 0.594), Pt at (0.250, 0.062, 0.872), Pt at (0.250, 0.250, 0.529), Pt at (0.250, 0.250, 0.999) and Pt at (0.250, 0.578, 0.487).

No. 3
The following is a DFT calculation (GGA-PBE) of a relaxed SrTlOs2 crystal.

Its energy of formation is 1253 meV/atom. The volume is 20.46 Å³/atom. The energy relative to the lowest polymorph listed for this composition comes out at 970.3 meV per atom.

It has space group P4/mmm (No. 123), with a = 3.053 Å, b = 3.053 Å, c = 8.780 Å, α = 90.00°, β = 90.00° and γ = 90.00°. The distinct sites, in fractional coordinates, are Sr at (0.000, 0.000, 0.000), Tl at (0.000, 0.000, 0.500) and Os at (0.500, 0.500, 0.278).

No. 4
The following is a DFT calculation (GGA-PBE) of a relaxed ZrSb2Au crystal.

The volume is 23.32 Å³/atom. As for the formation energy from raw total energies: -0.4106 eV per atom.

It has space group Cm (No. 8), with a = 11.025 Å, b = 3.905 Å, c = 4.344 Å, α = 90.00°, β = 93.85° and γ = 90.00°. The distinct sites, in fractional coordinates, are Zr at (0.000, 0.000, 0.000), Sb at (0.217, 0.500, 0.024), Sb at (0.433, 0.000, 0.489) and Au at (0.179, 0.000, 0.526).

No. 5
The following is a DFT calculation (GGA-PBE) of a relaxed SmTm2Bi crystal.

Its energy of formation is -449 meV/atom. The volume is 30.47 Å³/atom. The energy relative to the lowest polymorph listed for this composition comes out at 0.0 meV per atom.

It has space group Cmcm (No. 63), with a = 4.633 Å, b = 22.786 Å, c = 4.617 Å, α = 90.00°, β = 90.00° and γ = 90.00°. The distinct sites, in fractional coordinates, are Sm at (0.000, 0.193, 0.250), Tm at (0.000, 0.057, 0.750), Tm at (0.000, 0.442, 0.750) and Bi at (0.000, 0.337, 0.250).

No. 6
The following is a DFT calculation (GGA-PBE) of a relaxed Li2TePbO4 crystal.

The volume is 15.08 Å³/atom. As for the formation energy from raw total energies: -1.1967 eV per atom.

It has space group C2/c (No. 15), with a = 7.750 Å, b = 11.637 Å, c = 6.208 Å, α = 90.00°, β = 120.43° and γ = 90.00°. The distinct sites, in fractional coordinates, are Li at (0.000, 0.000, 0.000), Li at (0.250, 0.250, 0.000), Te at (0.000, 0.500, 0.000), Pb at (0.250, 0.250, 0.500), O at (0.076, 0.330, 0.054) and O at (0.210, 0.046, 0.331).

Ordered raw total energy results: -2.61 -4.82 -5.37 -5.43 -4.84 -5.01; unit eV per atom.
Ordered magnetic moment results: 0.000 0.000 2.001 0.000 0.008 0.000; unit μB per cell.